Here is crystalline ScTcSb2 at its relaxed geometry from Alexandria via LeMat-Bulk. Energies are from PBE-GGA.

a = 3.2962 Å, b = 3.2962 Å, c = 7.3543 Å
α = 90.00°, β = 90.00°, γ = 90.00°
With the nearest neighbours (Å) after each atom.
Space group P4/mmm (No. 123)
One atom of each set of equivalent atoms:
1 Sc 0.0000 0.0000 0.0000 x1  8 Sb 3.10, 4 Sc 3.30
2 Tc 0.0000 0.0000 0.5000 x1  8 Sb 2.84
3 Sb 0.5000 0.5000 0.2784 x2  4 Tc 2.84, 4 Sc 3.10

Output
VASP energy = -0.476 Ry/atom
formation energy from raw total energies = -92 kJ/mol of formula units
calculated density = 8.031 g cm⁻³